{"formula": "K3Rh", "functional": "GGA-PBE", "state": "optimized geometry", "lattice": [[5.717, 0.000, 0.000], [0.000, 7.587, 0.000], [0.000, 0.000, 6.399]], "species": ["K", "K", "K", "K", "K", "K", "Rh", "Rh"], "fractional_positions": [[0.250, 0.002, 0.180], [0.250, 0.498, 0.180], [0.250, 0.750, 0.613], [0.750, 0.250, 0.387], [0.750, 0.502, 0.820], [0.750, 0.998, 0.820], [0.250, 0.250, 0.709], [0.750, 0.750, 0.291]], "n_ef_per_ev_atom": 1.7539, "dft_energy_ev_per_atom": -2.109, "spacegroup": "Pmmn", "ef_ev_per_atom": 0.55}

=====

{"formula": "AgSbF3", "functional": "GGA-PBE", "state": "optimized geometry", "lattice": [[4.415, 0.000, 0.000], [0.000, 4.415, 0.000], [0.000, 0.000, 4.415]], "species": ["Ag", "Sb", "F", "F", "F"], "fractional_positions": [[0.000, 0.000, 0.000], [0.500, 0.500, 0.500], [0.000, 0.000, 0.500], [0.000, 0.500, 0.000], [0.500, 0.000, 0.000]], "n_ef_per_ev_atom": 0.8968, "dft_energy_ev_per_atom": -3.320, "spacegroup": "Pm-3m", "formation_energy_uncorrected_mev_per_atom": -803}

=====

{"formula": "Zr4P3S", "functional": "GGA-PBE", "state": "optimized geometry", "lattice": [[1.872, 1.081, 12.294], [-1.872, 1.081, 12.294], [0.000, -2.162, 12.294]], "species": ["Zr", "Zr", "Zr", "Zr", "P", "P", "P", "S"], "fractional_positions": [[0.121, 0.121, 0.121], [0.377, 0.377, 0.377], [0.623, 0.623, 0.623], [0.879, 0.879, 0.879], [0.000, 0.000, 0.000], [0.250, 0.250, 0.250], [0.750, 0.750, 0.750], [0.500, 0.500, 0.500]], "n_ef_per_ev_atom": 0.4121, "dft_energy_ev_per_atom": -8.176, "spacegroup": "R-3m", "formation_energy_uncorrected_mev_per_atom": -1357}

=====

{"formula": "CsGaCl2F", "functional": "GGA-PBE", "state": "optimized geometry", "lattice": [[5.358, 0.000, 0.000], [0.000, 5.358, 0.000], [0.000, 0.000, 4.338]], "species": ["Cs", "Ga", "Cl", "Cl", "F"], "fractional_positions": [[0.000, 0.000, 0.000], [0.500, 0.500, 0.500], [0.000, 0.500, 0.500], [0.500, 0.000, 0.500], [0.500, 0.500, 0.000]], "n_ef_per_ev_atom": 0.2322, "dft_energy_ev_per_atom": -3.553, "spacegroup": "P4/mmm", "formation_energy_uncorrected_mev_per_atom": -1664}